! Pm5SnPd2 PBE relaxed; values from VASP
! - electronic total energy (eV per atom) = -5.400
! - energy of formation (eV/f.u.) = -5.055
! - symmetry = I4/mcm (140)
! - DOS(E_F) (states/eV per cell) = 15.235
&SYSTEM
  ibrav = 0, nat = 16, ntyp = 3
/
ATOMIC_SPECIES
Pm 145.00 Pm.upf
Sn 118.71 Sn.upf
Pd 106.42 Pd.upf
ATOMIC_POSITIONS angstrom
Pm -0.692 -5.326 2.094
Pm -2.921 -7.569 -3.497
Pm 0.000 0.000 0.000
Pm -2.468 -4.002 -3.228
Pm -0.098 -0.507 5.742
Pm -3.407 -2.532 3.900
Pm 2.617 -3.301 3.935
Pm 0.388 -5.544 -1.655
Pm -5.636 -4.775 -1.690
Pm -2.328 -2.750 0.151
Sn -2.743 -6.039 -0.492
Sn -0.276 -2.037 2.737
Pd -0.028 -2.527 -1.884
Pd -4.447 -1.943 -1.895
Pd -0.488 -6.061 -4.562
Pd -4.908 -5.477 -4.572
CELL_PARAMETERS angstrom
-7.589 -1.769 -2.082
2.653 -6.235 -4.374
1.916 -0.073 8.701